Entry 1:
! Sr2Mg2Zn | the Alexandria database | PBE-GGA | relaxed; values from VASP
! E_form, eV/atom: -0.1012
! Distance to the lowest polymorph of the same formula, meV/atom: 0
! Symmetry: No. 15
! Energy, eV/atom: -1.667
! Magnetization, μB/cell: 0.0
&SYSTEM
  ibrav = 0, nat = 10, ntyp = 3
/
ATOMIC_SPECIES
Sr 87.62 Sr.upf
Mg 24.30 Mg.upf
Zn 65.41 Zn.upf
CELL_PARAMETERS angstrom
5.8890 -3.5287 0.0000
5.8890 3.5287 0.0000
-2.6241 0.0000 7.6513
ATOMIC_POSITIONS angstrom
Sr 1.5409 0.6210 1.1009
Sr 0.2288 -0.6210 4.9265
Sr 8.9251 0.6210 2.7248
Sr 7.6130 -0.6210 6.5504
Mg 3.3714 0.8122 4.1482
Mg 4.4705 0.8122 7.3287
Mg 4.6834 -0.8122 0.3225
Mg 5.7825 -0.8122 3.5031
Zn 5.2330 1.4999 1.9128
Zn 3.9209 -1.4999 5.7385

***

Entry 2:
! Sr2MgZn5 | the Alexandria database | PBE-GGA | relaxed; values from VASP
! E_form, eV/atom: -0.1618
! Symmetry: No. 63
! Energy, eV/atom: -1.578
! Magnetization, μB/cell: 0.0
&SYSTEM
  ibrav = 0, nat = 16, ntyp = 3
/
ATOMIC_SPECIES
Sr 87.62 Sr.upf
Mg 24.30 Mg.upf
Zn 65.41 Zn.upf
CELL_PARAMETERS angstrom
2.3293 -8.6838 0.0000
2.3293 8.6838 0.0000
0.0000 0.0000 9.3621
ATOMIC_POSITIONS angstrom
Sr 0.0000 0.0000 0.0000
Sr 0.0000 0.0000 4.6811
Sr 2.3293 5.0705 7.0216
Sr 2.3293 -5.0705 2.3405
Mg 2.3293 1.0606 2.3405
Mg 2.3293 -1.0606 7.0216
Zn 2.3293 5.5050 1.0334
Zn 2.3293 5.5050 3.6477
Zn 2.3293 2.7264 0.1073
Zn 2.3293 2.7264 4.5738
Zn 2.3293 1.7414 7.0216
Zn 2.3293 -1.7414 2.3405
Zn 2.3293 -2.7264 4.7883
Zn 2.3293 -2.7264 9.2549
Zn 2.3293 -5.5050 5.7145
Zn 2.3293 -5.5050 8.3287

***

Entry 3:
! Sr4Mg3Zn2 | the Alexandria database | PBE-GGA | relaxed; values from VASP
! E_form, eV/atom: -0.1008
! Symmetry: No. 12
! Energy, eV/atom: -1.663
! Magnetization, μB/cell: 0.0
&SYSTEM
  ibrav = 0, nat = 9, ntyp = 3
/
ATOMIC_SPECIES
Sr 87.62 Sr.upf
Mg 24.30 Mg.upf
Zn 65.41 Zn.upf
CELL_PARAMETERS angstrom
8.8655 -2.2237 0.0000
8.8655 2.2237 0.0000
-2.5057 0.0000 7.6789
ATOMIC_POSITIONS angstrom
Sr 0.4715 0.0000 2.7755
Sr 2.6992 0.0000 6.1652
Sr 12.5261 0.0000 1.5136
Sr 14.7539 0.0000 4.9034
Mg 6.5412 0.0000 2.1054
Mg 8.8655 0.0000 0.0000
Mg 8.6842 0.0000 5.5734
Zn -0.6131 0.0000 7.3728
Zn 15.8385 0.0000 0.3061

***

Entry 4:
! SrMg3Zn | the Alexandria database | PBE-GGA | relaxed; values from VASP
! E_form, eV/atom: -0.0396
! Distance to the lowest polymorph of the same formula, meV/atom: 54
! Symmetry: No. 194
! Energy, eV/atom: -1.588
! Magnetization, μB/cell: 0.0
&SYSTEM
  ibrav = 0, nat = 10, ntyp = 3
/
ATOMIC_SPECIES
Sr 87.62 Sr.upf
Mg 24.30 Mg.upf
Zn 65.41 Zn.upf
CELL_PARAMETERS angstrom
7.1053 0.0000 0.0000
-3.5526 6.1534 0.0000
0.0000 0.0000 6.0462
ATOMIC_POSITIONS angstrom
Sr 0.0000 4.1022 1.5116
Sr 3.5526 2.0511 4.5347
Mg 0.0000 2.2679 4.5347
Mg -1.5886 5.0194 4.5347
Mg 1.9640 1.1339 1.5116
Mg 1.5886 5.0194 4.5347
Mg 5.1413 1.1339 1.5116
Mg 3.5526 3.8855 1.5116
Zn 0.0000 0.0000 0.0000
Zn 0.0000 0.0000 3.0231